No. 1
Density functional theory data (PBE) for a relaxed Rb4Ba crystal.

Calculated values
E_form = 0.39 eV per atom
crystal system = cubic
E_tot = -0.772 eV per atom

a = 8.4447 Å, b = 8.4447 Å, c = 8.4447 Å
α = 90.00°, β = 90.00°, γ = 90.00°
Closest atoms and distances in Å follow each position.
Atoms (fractional coordinates):
Rb 0.0000 0.0000 0.0000  12 Rb 5.97
Rb 0.0000 0.5000 0.5000  2 Ba 4.22
Rb 0.5000 0.0000 0.5000  2 Ba 4.22
Rb 0.5000 0.5000 0.0000  2 Ba 4.22
Ba 0.5000 0.5000 0.5000  6 Rb 4.22

---

No. 2
Density functional theory data (PBE) for a relaxed RbBa4 crystal.

Calculated values
E_form = 0.50 eV per atom
crystal system = cubic
E_tot = -1.231 eV per atom

a = 7.1108 Å, b = 7.1108 Å, c = 7.1108 Å
α = 90.00°, β = 90.00°, γ = 90.00°
Closest atoms and distances in Å follow each position.
Atoms (fractional coordinates):
Rb 0.0000 0.0000 0.0000  6 Ba 3.56
Ba 0.0000 0.0000 0.5000  2 Rb 3.56
Ba 0.0000 0.5000 0.0000  2 Rb 3.56
Ba 0.5000 0.0000 0.0000  2 Rb 3.56
Ba 0.5000 0.5000 0.5000  12 Ba 5.03